{"formula": "ErSc2In3Se6", "functional": "GGA-PBE", "state": "optimized geometry", "lattice": [[3.464, -5.993, 0.000], [3.464, 5.993, 0.000], [-2.307, 0.000, 7.692]], "species": ["Er", "Sc", "Sc", "In", "In", "In", "Se", "Se", "Se", "Se", "Se", "Se"], "fractional_positions": [[0.000, 0.000, 0.000], [0.333, 0.667, 0.000], [0.667, 0.333, 0.000], [0.163, 0.837, 0.500], [0.500, 0.500, 0.500], [0.837, 0.163, 0.500], [0.068, 0.412, 0.203], [0.277, 0.277, 0.800], [0.412, 0.068, 0.203], [0.588, 0.932, 0.797], [0.723, 0.723, 0.200], [0.932, 0.588, 0.797]], "raw_formation_energy_mev_per_atom": -1218, "mass_density_kg_m3": 5592, "magmom_total_mub_per_cell": 0.00, "spacegroup": "C2/m, No. 12", "dft_energy_ev_per_atom": -5.08}